Computed, not measured: a geometry-optimized ScNbGa structure at the PBE-GGA level of DFT.

Output
For the energy of formation, the calculation gives -433.9 meV per atom.

```
data_ScNbGa
_cell_length_a 3.936
_cell_length_b 3.936
_cell_length_c 7.584
_cell_angle_alpha 90.00
_cell_angle_beta 90.00
_cell_angle_gamma 90.00
_symmetry_space_group_name_H-M 'P 4/n m m'
_symmetry_Int_Tables_number 129
loop_
_symmetry_equiv_pos_as_xyz
'x,y,z'
'-x,-y,-z'
'-y+1/2,x,z'
'y+1/2,-x,-z'
'-x+1/2,-y+1/2,z'
'x+1/2,y+1/2,-z'
'y,-x+1/2,z'
'-y,x+1/2,-z'
'x+1/2,-y,-z'
'-x+1/2,y,z'
'-y,-x,-z'
'y,x,z'
'-x,y+1/2,-z'
'x,-y+1/2,z'
'y+1/2,x+1/2,-z'
'-y+1/2,-x+1/2,z'
loop_
_atom_site_label
_atom_site_type_symbol
_atom_site_fract_x
_atom_site_fract_y
_atom_site_fract_z
Sc1 Sc 0.250 0.250 0.155
Nb1 Nb 0.250 0.750 0.500
Ga1 Ga 0.250 0.250 0.769
```